(1)
A PBEsol-optimized structure of Ta2RhC, computed with meta-GGA SCAN.

a b c (Å): 6.0401 6.0401 6.0401
angles (deg): 90.00 90.00 90.00
Last column: nearest neighbours and their distance in Å.
Space group Fm-3m (No. 225)
Inequivalent atoms, fractional coordinates:
Ta1 0.2500 0.2500 0.2500  4 C 2.62, 4 Rh 2.62
Rh1 0.0000 0.0000 0.0000  8 Ta 2.62
C1 0.0000 0.0000 0.5000  8 Ta 2.62

Values from the calculation:
Raw total energy = -174.38 eV per formula unit

=====

(2)
A PBEsol-optimized structure of ScTe2Ir, computed with meta-GGA SCAN.

a b c (Å): 4.1609 4.1609 17.7505
angles (deg): 90.00 90.00 120.00
Last column: nearest neighbours and their distance in Å.
Space group R-3m (No. 166, hexagonal axes)
Inequivalent atoms, fractional coordinates:
Sc1 0.0000 0.0000 0.0000  6 Te 2.91
Te1 0.0000 0.0000 0.2406  3 Ir 2.74, 3 Sc 2.91
Ir1 0.0000 0.0000 0.5000  6 Te 2.74

Values from the calculation:
ΔE to the lowest computed polymorph = 368 meV/atom
E_form (uncorrected) = -1.4 eV/f.u.

=====

Calculated magnetization in order - 0.0 0.0 μB/cell
Calculated Fermi-level density of states in order - 15.10 8.77 states/eV/cell